Material: Tb4Sm2Er5
Method: DFT, PBE
State: optimized geometry

The structure in CIF format:
```
data_Tb4Sm2Er5
_symmetry_space_group_name_H-M 'I m m m'
_symmetry_Int_Tables_number 71
_symmetry_space_group_name_Hall '-I 2 2'
_cell_length_a 3.490
_cell_length_b 9.016
_cell_length_c 23.058
_cell_angle_alpha 90.00
_cell_angle_beta 90.00
_cell_angle_gamma 90.00
loop_
_atom_site_label
_atom_site_fract_x
_atom_site_fract_y
_atom_site_fract_z
Tb1 0.000 0.000 0.097
Tb2 0.000 0.306 0.500
Sm1 0.000 0.000 0.232
Er1 0.000 0.195 0.357
Er2 0.000 0.500 0.000
```

Results
E in eV per atom: -4.38
Formation energy in eV per atom: 0.2337
Fermi-level density of states in states/eV per cell: 33.81
Energy above the lowest structure with this stoichiometry in meV/atom: 174

---

Material: Tb7SmEr4
Method: DFT, PBE
State: optimized geometry

The structure in CIF format:
```
data_Tb7SmEr4
_symmetry_space_group_name_H-M 'C 1 2/m 1'
_symmetry_Int_Tables_number 12
_symmetry_space_group_name_Hall '-C 2y'
_cell_length_a 11.990
_cell_length_b 5.869
_cell_length_c 12.618
_cell_angle_alpha 90.00
_cell_angle_beta 118.07
_cell_angle_gamma 90.00
loop_
_atom_site_label
_atom_site_fract_x
_atom_site_fract_y
_atom_site_fract_z
Tb1 0.000 0.000 0.000
Tb2 0.060 0.500 0.325
Tb3 0.133 0.000 0.502
Tb4 0.211 0.500 0.922
Sm1 0.000 0.500 0.000
Er1 0.135 0.000 0.775
Er2 0.248 0.500 0.683
```

Results
E in eV per atom: -4.34
Formation energy in eV per atom: 0.2768
Fermi-level density of states in states/eV per cell: 38.78
Energy above the lowest structure with this stoichiometry in meV/atom: 280

---

Material: Tb6Sm2Er
Method: DFT, PBE
State: optimized geometry

The structure in CIF format:
```
data_Tb6Sm2Er
_symmetry_space_group_name_H-M 'C 1 2/c 1'
_symmetry_Int_Tables_number 15
_symmetry_space_group_name_Hall '-C 2yc'
_cell_length_a 12.817
_cell_length_b 14.313
_cell_length_c 6.594
_cell_angle_alpha 90.00
_cell_angle_beta 104.58
_cell_angle_gamma 90.00
loop_
_atom_site_label
_atom_site_fract_x
_atom_site_fract_y
_atom_site_fract_z
Tb1 0.036 0.186 0.005
Tb2 0.132 0.410 0.816
Tb3 0.239 0.201 0.727
Sm1 0.144 0.024 0.371
Er1 0.000 0.382 0.250
```

Results
E in eV per atom: -4.53
Formation energy in eV per atom: 0.1125
Fermi-level density of states in states/eV per cell: 45.68

---

Material: TbSm4Er4
Method: DFT, PBE
State: optimized geometry

The structure in CIF format:
```
data_TbSm4Er4
_symmetry_space_group_name_H-M 'I 4/m m m'
_symmetry_Int_Tables_number 139
_symmetry_space_group_name_Hall '-I 4 2'
_cell_length_a 10.708
_cell_length_b 10.708
_cell_length_c 5.031
_cell_angle_alpha 90.00
_cell_angle_beta 90.00
_cell_angle_gamma 90.00
loop_
_atom_site_label
_atom_site_fract_x
_atom_site_fract_y
_atom_site_fract_z
Tb1 0.000 0.000 0.000
Sm1 0.000 0.331 0.000
Er1 0.166 0.166 0.500
```

Results
E in eV per atom: -4.62
Formation energy in eV per atom: 0.0201
Fermi-level density of states in states/eV per cell: 26.17
Energy above the lowest structure with this stoichiometry in meV/atom: 0

---

Material: TbSm3Er4
Method: DFT, PBE
State: optimized geometry

The structure in CIF format:
```
data_TbSm3Er4
_symmetry_space_group_name_H-M 'P m n 21'
_symmetry_Int_Tables_number 31
_symmetry_space_group_name_Hall 'P 2ac -2'
_cell_length_a 11.328
_cell_length_b 7.272
_cell_length_c 6.276
_cell_angle_alpha 90.00
_cell_angle_beta 90.00
_cell_angle_gamma 90.00
loop_
_atom_site_label
_atom_site_fract_x
_atom_site_fract_y
_atom_site_fract_z
Tb1 0.000 0.128 0.000
Sm1 0.000 0.873 0.500
Sm2 0.250 0.127 0.335
Er1 0.000 0.378 0.501
Er2 0.000 0.622 0.001
Er3 0.249 0.378 0.834
```

Results
E in eV per atom: -4.61
Formation energy in eV per atom: 0.0169
Fermi-level density of states in states/eV per cell: 28.38

---

Material: Tb16Sm6Er7
Method: DFT, PBE
State: optimized geometry

The structure in CIF format:
```
data_Tb16Sm6Er7
_symmetry_space_group_name_H-M 'F m -3 m'
_symmetry_Int_Tables_number 225
_symmetry_space_group_name_Hall '-F 4 2 3'
_cell_length_a 15.752
_cell_length_b 15.752
_cell_length_c 15.752
_cell_angle_alpha 90.00
_cell_angle_beta 90.00
_cell_angle_gamma 90.00
loop_
_atom_site_label
_atom_site_fract_x
_atom_site_fract_y
_atom_site_fract_z
Tb1 0.124 0.124 0.124
Tb2 0.152 0.152 0.348
Sm1 0.000 0.000 0.276
Er1 0.000 0.000 0.000
Er2 0.000 0.250 0.250
```

Results
E in eV per atom: -4.40
Formation energy in eV per atom: 0.2309
Fermi-level density of states in states/eV per cell: 211.99

---

Material: TbSm3Er3
Method: DFT, PBE
State: optimized geometry

The structure in CIF format:
```
data_TbSm3Er3
_symmetry_space_group_name_H-M 'R -3'
_symmetry_Int_Tables_number 148
_symmetry_space_group_name_Hall '-R 3'
_cell_length_a 6.1820
_cell_length_b 6.1820
_cell_length_c 42.8766
_cell_angle_alpha 90.00
_cell_angle_beta 90.00
_cell_angle_gamma 120.00
loop_
_atom_site_label
_atom_site_fract_x
_atom_site_fract_y
_atom_site_fract_z
Tb1 0.0000 0.0000 0.1667
Sm1 0.0002 0.3311 0.6315
Er1 0.9996 0.3331 0.1013
```

Results
E in eV per atom: -4.48
Formation energy in eV per atom: 0.1610
Fermi-level density of states in states/eV per cell: 64.19
Energy above the lowest structure with this stoichiometry in meV/atom: 145

---

Material: Tb3Sm4Er5
Method: DFT, PBE
State: optimized geometry

The structure in CIF format:
```
data_Tb3Sm4Er5
_symmetry_space_group_name_H-M 'C 1 2/m 1'
_symmetry_Int_Tables_number 12
_symmetry_space_group_name_Hall '-C 2y'
_cell_length_a 15.999
_cell_length_b 5.900
_cell_length_c 9.306
_cell_angle_alpha 90.00
_cell_angle_beta 116.45
_cell_angle_gamma 90.00
loop_
_atom_site_label
_atom_site_fract_x
_atom_site_fract_y
_atom_site_fract_z
Tb1 0.000 0.000 0.000
Tb2 0.211 0.500 0.236
Sm1 0.084 0.500 0.445
Sm2 0.214 0.500 0.882
Er1 0.000 0.500 0.000
Er2 0.071 0.000 0.700
Er3 0.172 0.000 0.385
```

Results
E in eV per atom: -4.40
Formation energy in eV per atom: 0.2335
Fermi-level density of states in states/eV per cell: 38.62
Energy above the lowest structure with this stoichiometry in meV/atom: 216

---

Material: Tb4Sm9Er11
Method: DFT, PBE
State: optimized geometry

The structure in CIF format:
```
data_Tb4Sm9Er11
_symmetry_space_group_name_H-M 'C m m m'
_symmetry_Int_Tables_number 65
_symmetry_space_group_name_Hall '-C 2 2'
_cell_length_a 16.656
_cell_length_b 25.228
_cell_length_c 3.692
_cell_angle_alpha 90.00
_cell_angle_beta 90.00
_cell_angle_gamma 90.00
loop_
_atom_site_label
_atom_site_fract_x
_atom_site_fract_y
_atom_site_fract_z
Tb1 0.155 0.100 0.000
Sm1 0.000 0.000 0.000
Sm2 0.103 0.234 0.000
Sm3 0.140 0.427 0.000
Er1 0.000 0.134 0.500
Er2 0.000 0.339 0.500
Er3 0.000 0.500 0.500
Er4 0.211 0.000 0.500
Er5 0.226 0.319 0.500
```

Results
E in eV per atom: -4.58
Formation energy in eV per atom: 0.0499
Fermi-level density of states in states/eV per cell: 61.92

---

Material: Tb4Sm8Er
Method: DFT, PBE
State: optimized geometry

The structure in CIF format:
```
data_Tb4Sm8Er
_symmetry_space_group_name_H-M 'R -3 m'
_symmetry_Int_Tables_number 166
_symmetry_space_group_name_Hall '-R 3 2"'
_cell_length_a 11.0716
_cell_length_b 11.0716
_cell_length_c 13.5405
_cell_angle_alpha 90.00
_cell_angle_beta 90.00
_cell_angle_gamma 120.00
loop_
_atom_site_label
_atom_site_fract_x
_atom_site_fract_y
_atom_site_fract_z
Tb1 0.0000 0.0000 0.0000
Tb2 0.0000 0.5000 0.0000
Sm1 0.0000 0.0000 0.2402
Sm2 0.0126 0.5063 0.7465
Er1 0.0000 0.0000 0.5000
```

Results
E in eV per atom: -4.20
Formation energy in eV per atom: 0.4803
Fermi-level density of states in states/eV per cell: 59.46